(1)
First-principles (PBE-GGA) data for a geometry-optimized KZrCo2 structure, as listed in Alexandria.

a = 4.6057 Å, b = 4.6057 Å, c = 4.6057 Å
α = 60.00°, β = 60.00°, γ = 60.00°
Closest atoms and distances in Å follow each position.
Sites, in units of the cell vectors:
K (0.5000, 0.5000, 0.5000)  4 Co 2.82, 4 Zr 2.82
Zr (0.7500, 0.7500, 0.7500)  4 K 2.82, 4 Co 2.82
Co (0.0000, 0.0000, 0.0000)  4 Zr 2.82, 4 Co 2.82
Co (0.2500, 0.2500, 0.2500)  4 K 2.82, 4 Co 2.82

Computed properties:
Energy relative to the elements (eV per atom): 1.077
Space-group type: No. 216
Theoretical density (Mg/m³): 5.97
Energy above the most stable polymorph in this dataset (meV/atom): 675

---

(2)
First-principles (PBE-GGA) data for a geometry-optimized Dy5Ga4Cu structure, as listed in Alexandria.

a = 3.5253 Å, b = 3.5253 Å, c = 18.0802 Å
α = 90.00°, β = 90.00°, γ = 90.00°
Closest atoms and distances in Å follow each position.
Sites, in units of the cell vectors:
Cu (0.0000, 0.0000, 0.0000)  8 Dy 3.03
Dy (0.5000, 0.5000, 0.2979)  8 Ga 3.10
Dy (0.5000, 0.5000, 0.0954)  4 Cu 3.03, 4 Ga 3.09
Dy (0.5000, 0.5000, 0.7021)  8 Ga 3.10
Dy (0.5000, 0.5000, 0.9046)  4 Cu 3.03, 4 Ga 3.09
Dy (0.5000, 0.5000, 0.5000)  8 Ga 3.09
Ga (0.0000, 0.0000, 0.3994)  8 Dy 3.09-3.10
Ga (0.0000, 0.0000, 0.1960)  8 Dy 3.09-3.10
Ga (0.0000, 0.0000, 0.8040)  8 Dy 3.09-3.10
Ga (0.0000, 0.0000, 0.6006)  8 Dy 3.09-3.10

Computed properties:
Energy relative to the elements (eV per atom): -0.510
Space-group type: No. 123
Theoretical density (Mg/m³): 8.54